No. 1
The following is a PBE calculation of a relaxed LiGe2Cl5 crystal, from the Alexandria database.

For the density, the calculation gives 2.322 g/cm3. The electronic total energy comes out at -3.575 eV per atom. For the raw formation energy, the calculation gives -793 kJ/mol of formula units. Its excess energy over the best structure of this formula in the dataset is 0 meV/atom.

Lattice parameters (Å, degrees): 8.723 10.920 12.034 67.85 68.75 66.46
Fractional positions:
Li 0.924 0.071 0.324
Li 0.319 0.429 0.176
Li 0.681 0.571 0.824
Li 0.076 0.929 0.676
Ge 0.554 0.039 0.651
Ge 0.744 0.085 0.006
Ge 0.836 0.415 0.494
Ge 0.756 0.539 0.151
Ge 0.244 0.461 0.849
Ge 0.164 0.585 0.506
Ge 0.256 0.915 0.994
Ge 0.446 0.961 0.349
Cl 0.926 0.017 0.146
Cl 0.253 0.063 0.511
Cl 0.777 0.068 0.697
Cl 0.461 0.186 0.185
Cl 0.832 0.314 0.315
Cl 0.314 0.120 0.922
Cl 0.356 0.380 0.578
Cl 0.088 0.483 0.354
Cl 0.173 0.563 0.011
Cl 0.541 0.432 0.803
Cl 0.459 0.568 0.197
Cl 0.827 0.437 0.989
Cl 0.912 0.517 0.646
Cl 0.644 0.620 0.422
Cl 0.686 0.880 0.078
Cl 0.168 0.686 0.685
Cl 0.539 0.814 0.815
Cl 0.223 0.932 0.303
Cl 0.747 0.937 0.489
Cl 0.074 0.983 0.854



No. 2
The following is a PBE calculation of a relaxed K2TlZn2 crystal, from the Alexandria database.

The formation energy comes out at 0.19 eV per atom. For the density, the calculation gives 4.049 g/cm3. The electronic total energy comes out at -1.227 eV per atom. Its excess energy over the best structure of this formula in the dataset is 122 meV/atom.

Lattice parameters (Å, degrees): 10.052 10.052 3.355 90.00 90.00 90.00
Fractional positions:
K 0.305 0.805 0.000
K 0.805 0.695 0.000
K 0.695 0.195 0.000
K 0.195 0.305 0.000
Tl 0.000 0.000 0.000
Tl 0.500 0.500 0.000
Zn 0.093 0.593 0.500
Zn 0.593 0.907 0.500
Zn 0.907 0.407 0.500
Zn 0.407 0.093 0.500



No. 3
The following is a PBE calculation of a relaxed Mo2Pt crystal, from the Alexandria database.

The formation energy comes out at -0.06 eV per atom. For the density, the calculation gives 13.620 g/cm3. The electronic total energy comes out at -9.298 eV per atom. Its excess energy over the best structure of this formula in the dataset is 100 meV/atom.

Lattice parameters (Å, degrees): 4.933 4.933 4.933 148.36 130.93 59.57
Fractional positions:
Mo 0.668 0.668 0.000
Mo 0.332 0.332 0.000
Pt 0.000 0.000 0.000